No. 1
Computed, not measured: an optimized crystal structure of CaSi2Au at the GGA-PBE level of DFT.

Cell lengths 4.199, 4.202, 4.240 Å; angles 90.00, 90.00, 90.00 degrees
Fractional positions:
Si 0.500 0.500 0.000
Si 0.000 0.000 0.000
Au 0.500 0.000 0.500
Ca 0.000 0.500 0.500

Summary:
The uncorrected formation energy comes out at -0.110 eV/atom. As for the density of states at the Fermi level: 0.4456 states/eV/atom. Its space group is No. 123. The crystal system is tetragonal.

No. 2
Computed, not measured: an optimized crystal structure of NdSn6Te8 at the GGA-PBE level of DFT.

Cell lengths 6.126, 10.399, 10.399 Å; angles 120.00, 90.00, 90.00 degrees
Fractional positions:
Te 0.230 0.009 0.739
Te 0.770 0.270 0.009
Te 0.586 0.333 0.667
Te 0.230 0.261 0.270
Te 0.770 0.739 0.730
Te 0.770 0.991 0.261
Te 0.230 0.730 0.991
Te 0.414 0.667 0.333
Sn 0.659 0.912 0.584
Sn 0.341 0.088 0.416
Sn 0.659 0.416 0.328
Sn 0.659 0.672 0.088
Sn 0.341 0.584 0.672
Sn 0.341 0.328 0.912
Nd 0.500 0.000 0.000

Summary:
The uncorrected formation energy comes out at -0.359 eV/atom. As for the density of states at the Fermi level: 0.5413 states/eV/atom. Its space group is No. 147. The crystal system is trigonal.

No. 3
Computed, not measured: an optimized crystal structure of Rb2AgPtF6 at the GGA-PBE level of DFT.

Cell lengths 6.322, 6.322, 6.380 Å; angles 60.30, 60.30, 90.00 degrees
Last column: magnetic moment on the atom in μB.
Fractional positions:
F 0.747 0.747 0.506  0.09
F 0.253 0.253 0.494  0.09
F 0.227 0.227 0.000  0.01
F 0.227 0.773 0.000  0.01
F 0.773 0.773 0.000  0.01
F 0.773 0.227 0.000  0.01
Rb 0.750 0.250 0.500  0.00
Rb 0.250 0.750 0.500  0.00
Ag 0.500 0.500 0.000  0.05
Pt 0.000 0.000 0.000  0.66

Summary:
The uncorrected formation energy comes out at -1.847 eV/atom. As for the density of states at the Fermi level: 0.0138 states/eV/atom. The relative energy among the computed polymorphs is 0.0 meV per atom. Its space group is No. 139. The crystal system is tetragonal.

No. 4
Computed, not measured: an optimized crystal structure of CsPdAuF6 at the GGA-PBE level of DFT.

Cell lengths 6.246, 6.261, 5.552 Å; angles 91.52, 88.63, 61.07 degrees
Fractional positions:
F 0.361 0.721 0.372
F 0.488 0.866 0.788
F 0.988 0.613 0.632
F 0.616 0.986 0.366
F 0.716 0.365 0.631
F 0.862 0.485 0.213
Au 0.309 0.306 0.499
Cs 0.991 0.989 0.998
Pd 0.668 0.669 0.500

Summary:
The uncorrected formation energy comes out at -1.509 eV/atom. Its space group is No. 1. The crystal system is triclinic.

No. 5
Computed, not measured: an optimized crystal structure of Ca5In2H2 at the GGA-PBE level of DFT.

Cell lengths 5.490, 6.751, 6.709 Å; angles 96.32, 90.00, 113.99 degrees
Fractional positions:
In 0.575 0.150 0.326
In 0.425 0.850 0.674
Ca 0.152 0.305 0.549
Ca 0.000 0.000 0.000
Ca 0.848 0.695 0.451
Ca 0.673 0.347 0.895
Ca 0.327 0.653 0.105
H 0.167 0.335 0.892
H 0.833 0.665 0.108

Summary:
As for the density of states at the Fermi level: 0.5965 states/eV/atom. The relative energy among the computed polymorphs is 0.0 meV per atom. Its space group is No. 12. The crystal system is monoclinic.

No. 6
Computed, not measured: an optimized crystal structure of SiTeMo at the GGA-PBE level of DFT.

Cell lengths 5.342, 5.329, 5.329 Å; angles 142.93, 142.98, 53.35 degrees
Fractional positions:
Si 0.364 0.364 0.000
Te 0.665 0.662 0.003
Mo 0.971 0.974 0.998

Summary:
The uncorrected formation energy comes out at 0.262 eV/atom. As for the density of states at the Fermi level: 0.8291 states/eV/atom. The relative energy among the computed polymorphs is 181.2 meV per atom. Its space group is No. 8. The crystal system is monoclinic.

No. 7
Computed, not measured: an optimized crystal structure of CoAsOsPb2 at the GGA-PBE level of DFT.

Cell lengths 5.479, 4.240, 5.479 Å; angles 90.00, 90.00, 90.00 degrees
Last column: magnetic moment on the atom in μB.
Fractional positions:
Pb 0.000 0.000 0.500  -0.02
Pb 0.500 0.000 0.000  -0.05
Os 0.500 0.500 0.500  2.17
As 0.000 0.000 0.000  0.02
Co 0.000 0.500 0.000  1.24

Summary:
As for the density of states at the Fermi level: 1.1569 states/eV/atom. The formation energy is 1.43 eV/atom. Its space group is No. 123. The crystal system is tetragonal.

No. 8
Computed, not measured: an optimized crystal structure of KZnCl at the GGA-PBE level of DFT.

Cell lengths 7.671, 7.671, 7.671 Å; angles 147.21, 147.21, 47.05 degrees
Fractional positions:
Cl 0.108 0.108 0.000
Zn 0.318 0.318 0.000
K 0.574 0.574 0.000

Summary:
The uncorrected formation energy comes out at -0.879 eV/atom. As for the density of states at the Fermi level: 0.0000 states/eV/atom. The relative energy among the computed polymorphs is 0.0 meV per atom. Its space group is No. 107. The crystal system is tetragonal.

No. 9
Computed, not measured: an optimized crystal structure of Tl5In2Se5 at the GGA-PBE level of DFT.

Cell lengths 4.432, 7.757, 12.482 Å; angles 106.52, 90.00, 106.60 degrees
Fractional positions:
Se 0.356 0.713 0.203
Se 0.885 0.770 0.613
Se 0.000 0.000 0.000
Se 0.644 0.287 0.797
Se 0.115 0.230 0.387
Tl 0.500 0.000 0.500
Tl 0.245 0.489 0.640
Tl 0.658 0.317 0.059
Tl 0.755 0.511 0.360
Tl 0.342 0.683 0.941
In 0.033 0.067 0.792
In 0.967 0.933 0.208

Summary:
The uncorrected formation energy comes out at -0.407 eV/atom. As for the density of states at the Fermi level: 0.3036 states/eV/atom. Its space group is No. 12. The crystal system is monoclinic.

No. 10
Computed, not measured: an optimized crystal structure of Li2PmPtO4 at the GGA-PBE level of DFT.

Cell lengths 5.092, 5.092, 5.092 Å; angles 103.16, 112.71, 112.71 degrees
Last column: magnetic moment on the atom in μB.
Fractional positions:
Li 0.500 0.750 0.250  0.00
Li 0.500 0.250 0.750  0.00
O 0.000 0.607 0.138  0.09
O 0.531 0.393 0.393  0.09
O 0.469 0.862 0.862  0.09
O 0.000 0.138 0.607  0.09
Pt 0.000 0.500 0.500  0.54
Pm 0.000 0.000 0.000  0.04

Summary:
The uncorrected formation energy comes out at -1.621 eV/atom. As for the density of states at the Fermi level: 0.6093 states/eV/atom. Its space group is No. 121. The crystal system is tetragonal.

No. 11
Computed, not measured: an optimized crystal structure of CsZnI2F at the GGA-PBE level of DFT.

Cell lengths 6.071, 6.071, 4.209 Å; angles 90.00, 90.00, 90.00 degrees
Fractional positions:
I 0.000 0.500 0.000
I 0.500 0.000 0.000
Zn 0.000 0.000 0.000
F 0.000 0.000 0.500
Cs 0.500 0.500 0.500

Summary:
The uncorrected formation energy comes out at -1.283 eV/atom. As for the density of states at the Fermi level: 0.2485 states/eV/atom. Its space group is No. 123. The crystal system is tetragonal.

No. 12
Computed, not measured: an optimized crystal structure of Tb6Sm5Th at the GGA-PBE level of DFT.

Cell lengths 6.232, 6.227, 11.864 Å; angles 84.99, 79.94, 59.97 degrees
Fractional positions:
Th 0.000 0.000 0.000
Tb 0.587 0.330 0.248
Tb 0.917 0.670 0.248
Tb 0.247 0.000 0.248
Tb 0.413 0.670 0.752
Tb 0.753 0.000 0.752
Tb 0.083 0.330 0.752
Sm 0.333 0.333 0.000
Sm 0.167 0.666 0.500
Sm 0.833 0.334 0.500
Sm 0.500 0.000 0.500
Sm 0.667 0.667 0.000

Summary:
As for the density of states at the Fermi level: 1.2727 states/eV/atom. The formation energy is 0.02 eV/atom. Its space group is No. 12. The crystal system is monoclinic.